[1]
The following is a DFT calculation (PBE-GGA) of PmEr2 after structural relaxation.

Values from the calculation:
Its space group is No. 71. Its magnetic moment is 0.0 μB per cell.

Unit cell a=3.4139 b=5.9755 c=5.9755 alpha=58.66 beta=73.40 gamma=73.40
Closest atoms and distances in Å follow each position.
Fractional positions:
1 Pm 0.0000 0.0000 0.0000  2 Pm 3.41, 8 Er 3.46-3.52
2 Er 0.1872 0.3128 0.3128  7 Er 3.41-3.69, 4 Pm 3.46-3.52
3 Er 0.8128 0.6872 0.6872  7 Er 3.41-3.69, 4 Pm 3.46-3.52

[2]
The following is a DFT calculation (PBE-GGA) of Pm6Er7 after structural relaxation.

Values from the calculation:
Its space group is No. 166. Its magnetic moment is 8.7 μB per cell.

Unit cell a=6.6312 b=6.6312 c=12.2400 alpha=74.28 beta=74.28 gamma=60.00
Closest atoms and distances in Å follow each position.
Fractional positions:
1 Er 0.0884 0.5855 0.2377  5 Er 3.30-3.37, 4 Pm 3.59-3.61
2 Er 0.9116 0.9116 0.7623  5 Er 3.30-3.37, 4 Pm 3.59-3.61
3 Er 0.4145 0.9116 0.7623  5 Er 3.30-3.37, 4 Pm 3.59-3.61
4 Er 0.0884 0.0884 0.2377  5 Er 3.30-3.37, 4 Pm 3.59-3.61
5 Er 0.5855 0.0884 0.2377  5 Er 3.30-3.37, 4 Pm 3.59-3.61
6 Er 0.9116 0.4145 0.7623  5 Er 3.30-3.37, 4 Pm 3.59-3.61
7 Er 0.0000 0.0000 0.0000  6 Er 3.37
8 Pm 0.5478 0.5478 0.3565  2 Pm 3.34-3.59, 6 Er 3.59
9 Pm 0.8333 0.8333 0.5002  6 Er 3.59-3.61, 3 Pm 3.83
10 Pm 0.3491 0.3491 0.9526  4 Pm 3.59-3.98, 12 Er 3.82-3.99
11 Pm 0.6509 0.6509 0.0474  4 Pm 3.59-3.98, 12 Er 3.82-3.99
12 Pm 0.4522 0.4522 0.6435  2 Pm 3.34-3.59, 6 Er 3.59
13 Pm 0.1667 0.1667 0.4998  6 Er 3.59-3.61, 3 Pm 3.83

[3]
The following is a DFT calculation (PBE-GGA) of PmEr2 after structural relaxation.

Values from the calculation:
Its space group is No. 139. Its magnetic moment is 0.0 μB per cell.

Unit cell a=3.5547 b=3.5547 c=7.9499 alpha=102.92 beta=102.92 gamma=90.00
Closest atoms and distances in Å follow each position.
Fractional positions:
1 Er 0.6684 0.6684 0.3368  8 Er 3.52-3.55, 4 Pm 3.57
2 Er 0.3316 0.3316 0.6632  8 Er 3.52-3.55, 4 Pm 3.57
3 Pm 0.0000 0.0000 0.0000  4 Pm 3.55, 8 Er 3.57

[4]
The following is a DFT calculation (PBE-GGA) of Pm3Er4 after structural relaxation.

Values from the calculation:
Its space group is No. 139. Its magnetic moment is 0.0 μB per cell.

Unit cell a=3.5659 b=3.5659 c=17.8670 alpha=95.73 beta=95.73 gamma=90.00
Closest atoms and distances in Å follow each position.
Fractional positions:
1 Er 0.5718 0.5718 0.1435  8 Er 3.51-3.57, 4 Pm 3.58
2 Er 0.1409 0.1409 0.2819  8 Er 3.51-3.57, 4 Pm 3.58
3 Er 0.4282 0.4282 0.8565  8 Er 3.51-3.57, 4 Pm 3.58
4 Er 0.8591 0.8591 0.7181  8 Er 3.51-3.57, 4 Pm 3.58
5 Pm 0.0000 0.0000 0.0000  4 Pm 3.57, 8 Er 3.58
6 Pm 0.2872 0.2872 0.5743  8 Pm 3.57-3.64, 4 Er 3.58
7 Pm 0.7128 0.7128 0.4257  8 Pm 3.57-3.64, 4 Er 3.58

DFT formation energy for every record listed, in sequence, given in meV/atom: 201, 263, 23, 23.